Compound: ReTeS
Source: Alexandria
Functional: meta-GGA SCAN
Structure: PBEsol geometry

The uncorrected formation energy is -385 meV per atom. The value obtained for the total magnetic moment is 0.000 μB per formula unit.

The space group is F-43m (No. 216) and the conventional cell measures 10.0271, 10.0271 and 10.0271 Å, with angles of 90.00, 90.00 and 90.00 degrees. The distinct sites, in fractional coordinates, are Re at (0.0978, 0.0978, 0.4022), Te at (0.1269, 0.1269, 0.1269) and S at (0.1302, 0.1302, 0.6302).

=====

Compound: TlReS3
Source: Alexandria
Functional: meta-GGA SCAN
Structure: PBEsol geometry

The uncorrected formation energy is 21 meV per atom. The value obtained for the total magnetic moment is 0.000 μB per formula unit.

The space group is Pm-3m (No. 221) and the conventional cell measures 4.6621, 4.6621 and 4.6621 Å, with angles of 90.00, 90.00 and 90.00 degrees. The distinct sites, in fractional coordinates, are Tl at (0.0000, 0.0000, 0.0000), Re at (0.5000, 0.5000, 0.5000) and S at (0.0000, 0.5000, 0.5000).

=====

Compound: Tl2ZnReS
Source: Alexandria
Functional: meta-GGA SCAN
Structure: PBEsol geometry

The uncorrected formation energy is 1253 meV per atom. The value obtained for the total magnetic moment is 4.382 μB per formula unit.

The space group is P4/mmm (No. 123) and the conventional cell measures 5.1097, 5.1097 and 4.8371 Å, with angles of 90.00, 90.00 and 90.00 degrees. The distinct sites, in fractional coordinates, are Tl at (0.0000, 0.5000, 0.0000), Zn at (0.0000, 0.0000, 0.0000), Re at (0.0000, 0.0000, 0.5000) and S at (0.5000, 0.5000, 0.5000).